{"formula": "BeCl2", "functional": "PBE-GGA", "state": "relaxed", "e_above_lowest_polymorph_mev_per_atom": 28, "e_form_raw_mev_per_atom": -1406, "lattice": [[5.118, -4.820, 4.898], [-7.718, 0.612, 3.671], [-0.791, -3.616, -7.728]], "species": ["Cl", "Cl", "Cl", "Cl", "Cl", "Cl", "Cl", "Cl", "Cl", "Cl", "Cl", "Cl", "Be", "Be", "Be", "Be", "Be", "Be"], "frac_coords": [[0.530, 0.259, 0.000], [0.730, 0.470, 0.470], [0.741, 0.741, 0.270], [0.470, 0.470, 0.730], [0.741, 0.270, 0.741], [0.000, 0.530, 0.259], [0.470, 0.730, 0.470], [0.270, 0.741, 0.741], [0.259, 0.530, 0.000], [0.000, 0.259, 0.530], [0.530, 0.000, 0.259], [0.259, 0.000, 0.530], [0.500, 0.750, 0.250], [0.750, 0.250, 0.500], [0.750, 0.500, 0.250], [0.500, 0.250, 0.750], [0.250, 0.750, 0.500], [0.250, 0.500, 0.750]]}

---

{"formula": "Nd2Al3Ag6", "functional": "PBE-GGA", "state": "relaxed", "formation_energy_ev_per_atom": -0.23, "lattice": [[4.450, 0.000, 0.000], [0.000, 7.810, 0.000], [0.000, -3.905, 6.764]], "species": ["Al", "Al", "Al", "Ag", "Ag", "Ag", "Ag", "Ag", "Ag", "Nd", "Nd"], "frac_coords": [[0.500, 0.384, 0.384], [0.500, 0.616, 0.000], [0.500, 0.000, 0.616], [0.000, 0.000, 0.792], [0.500, 0.712, 0.712], [0.000, 0.792, 0.000], [0.000, 0.208, 0.208], [0.500, 0.000, 0.288], [0.500, 0.288, 0.000], [0.000, 0.667, 0.333], [0.000, 0.333, 0.667]]}

---

{"formula": "TbFe4As12", "functional": "PBE-GGA", "state": "relaxed", "formation_energy_ev_per_atom": -0.36, "lattice": [[6.807, 0.000, -2.407], [-3.403, 5.895, -2.407], [0.000, 0.000, 7.220]], "species": ["As", "As", "As", "As", "As", "As", "As", "As", "As", "As", "As", "As", "Tb", "Fe", "Fe", "Fe", "Fe"], "frac_coords": [[0.845, 0.341, 0.186], [0.504, 0.845, 0.659], [0.845, 0.659, 0.504], [0.186, 0.845, 0.341], [0.341, 0.496, 0.155], [0.155, 0.659, 0.814], [0.496, 0.155, 0.341], [0.155, 0.341, 0.496], [0.659, 0.504, 0.845], [0.341, 0.186, 0.845], [0.659, 0.814, 0.155], [0.814, 0.155, 0.659], [0.000, 0.000, 0.000], [0.500, 0.500, 0.500], [0.000, 0.500, 0.000], [0.500, 0.000, 0.000], [0.000, 0.000, 0.500]]}

---

{"formula": "Ba2NaAu", "functional": "PBE-GGA", "state": "relaxed", "e_above_lowest_polymorph_mev_per_atom": 114, "formation_energy_ev_per_atom": -0.26, "lattice": [[4.380, 0.000, 0.000], [0.000, 5.911, 0.000], [0.000, 0.000, 5.911]], "species": ["Na", "Ba", "Ba", "Au"], "frac_coords": [[0.500, 0.500, 0.500], [0.000, 0.000, 0.500], [0.000, 0.500, 0.000], [0.500, 0.000, 0.000]]}

---

Number 1: DFT total energy -69.82 eV for the cell shown. Number 2: DFT total energy -40.41 eV for the cell shown. Number 3: DFT total energy -100.43 eV for the cell shown. Number 4: DFT total energy -9.49 eV for the cell shown.